YHgH4Pd6 after structural relaxation. Source: Alexandria, functional PBE.

Output
SG: P6/mmm
Total energy: -4.529 eV per atom
Size of the total moment: 0.0000 μB/atom
N(E_F): 0.310 states/eV per atom

abc: 5.603 5.603 5.930
angles: 90.00 90.00 120.00
Fractional coordinates of all 12 atoms:
Y  0.000  0.000  0.000
Hg  0.000  0.000  0.500
H  0.667  0.333  0.155
H  0.333  0.667  0.155
H  0.333  0.667  0.845
H  0.667  0.333  0.845
Pd  0.500  0.500  0.263
Pd  0.500  0.500  0.737
Pd  0.500  0.000  0.263
Pd  0.000  0.500  0.263
Pd  0.500  0.000  0.737
Pd  0.000  0.500  0.737